Material: YAsHBr2
Method: DFT, PBE-GGA
State: relaxed

Lattice parameters (Å, degrees): 5.163 5.163 3.721 90.00 90.00 90.00
Fractional positions:
Y  0.000  0.000  0.000
As  0.500  0.500  0.000
H  0.500  0.500  0.500
Br  0.000  0.500  0.500
Br  0.500  0.000  0.500

Values from the calculation:
- SG: No. 123
- Energy relative to the lowest polymorph listed for this composition: 34 meV per atom

---

Material: MgNbH
Method: DFT, PBE-GGA
State: relaxed

Lattice parameters (Å, degrees): 5.121 2.923 11.648 90.00 90.00 90.00
Fractional positions:
Mg  0.239  0.250  0.188
Mg  0.261  0.750  0.688
Mg  0.739  0.250  0.312
Mg  0.761  0.750  0.812
Nb  0.237  0.750  0.957
Nb  0.263  0.250  0.457
Nb  0.737  0.750  0.543
Nb  0.763  0.250  0.043
H  0.004  0.750  0.422
H  0.496  0.250  0.922
H  0.504  0.750  0.078
H  0.996  0.250  0.578

Values from the calculation:
- SG: No. 62
- Energy relative to the lowest polymorph listed for this composition: 230 meV per atom

---

Material: CaTaMo2
Method: DFT, PBE-GGA
State: relaxed

Lattice parameters (Å, degrees): 2.915 2.915 9.561 90.00 90.00 110.85
Fractional positions:
Ca  0.000  0.000  0.000
Ta  0.000  0.000  0.500
Mo  0.500  0.500  0.278
Mo  0.500  0.500  0.722

Values from the calculation:
- Formation energy from the elements: 1.71 eV/f.u.
- SG: No. 65
- Energy relative to the lowest polymorph listed for this composition: 0 meV per atom

---

Material: PuRh4
Method: DFT, PBE-GGA
State: relaxed

Lattice parameters (Å, degrees): 7.663 7.663 7.663 147.78 137.06 54.68
Fractional positions:
Pu  0.355  0.105  0.250
Pu  0.645  0.895  0.750
Rh  0.000  0.500  0.500
Rh  0.139  0.889  0.250
Rh  0.186  0.696  0.490
Rh  0.293  0.304  0.990
Rh  0.500  0.500  0.000
Rh  0.707  0.696  0.010
Rh  0.814  0.304  0.510
Rh  0.861  0.111  0.750

Values from the calculation:
- Formation energy from the elements: -1.28 eV/f.u.
- SG: No. 74

---

Material: CaPm2ZnN
Method: DFT, PBE-GGA
State: relaxed

Lattice parameters (Å, degrees): 4.967 4.967 4.823 90.00 90.00 90.00
Fractional positions:
Ca  0.000  0.000  0.000
Pm  0.000  0.500  0.500
Pm  0.500  0.000  0.500
Zn  0.500  0.500  0.000
N  0.000  0.000  0.500

Values from the calculation:
- SG: No. 123
- Uncorrected formation energy: -58.25 kJ per mole of atoms

---

Material: Li2PCl
Method: DFT, PBE-GGA
State: relaxed

Lattice parameters (Å, degrees): 4.791 4.791 4.791 60.00 60.00 60.00
Fractional positions:
Li  0.000  0.000  0.000
Li  0.250  0.250  0.250
P  0.500  0.500  0.500
Cl  0.750  0.750  0.750

Values from the calculation:
- SG: No. 216
- Energy relative to the lowest polymorph listed for this composition: 848 meV per atom
- Uncorrected formation energy: 0.49 kJ per mole of atoms

---

Material: Tm4SnPb
Method: DFT, PBE-GGA
State: relaxed

Lattice parameters (Å, degrees): 11.232 11.232 6.354 90.00 90.00 152.37
Fractional positions:
Tm  0.066  0.934  0.750
Tm  0.209  0.791  0.503
Tm  0.209  0.791  0.997
Tm  0.361  0.639  0.750
Tm  0.639  0.361  0.250
Tm  0.791  0.209  0.003
Tm  0.791  0.209  0.497
Tm  0.934  0.066  0.250
Sn  0.343  0.657  0.250
Sn  0.657  0.343  0.750
Pb  0.072  0.928  0.250
Pb  0.928  0.072  0.750

Values from the calculation:
- Formation energy from the elements: -1.79 eV/f.u.
- SG: No. 63

---

Material: TaTeRu2
Method: DFT, PBE-GGA
State: relaxed

Lattice parameters (Å, degrees): 7.200 7.200 7.200 133.36 133.36 68.09
Fractional positions:
Ta  0.000  0.000  0.000
Ta  0.750  0.250  0.500
Te  0.250  0.750  0.500
Te  0.500  0.500  0.000
Ru  0.111  0.625  0.986
Ru  0.375  0.361  0.486
Ru  0.639  0.125  0.014
Ru  0.875  0.889  0.514

Values from the calculation:
- SG: No. 122
- Uncorrected formation energy: 55.34 kJ per mole of atoms

---

Material: TaCo2Rh
Method: DFT, PBE-GGA
State: relaxed

Lattice parameters (Å, degrees): 3.754 3.754 3.695 90.00 90.00 90.00
Fractional positions:
Ta  0.000  0.000  0.000
Co  0.000  0.500  0.500
Co  0.500  0.000  0.500
Rh  0.500  0.500  0.000

Values from the calculation:
- Formation energy from the elements: -1.35 eV/f.u.
- SG: No. 123
- Energy relative to the lowest polymorph listed for this composition: 0 meV per atom

---

Material: Al2InSe
Method: DFT, PBE-GGA
State: relaxed

Lattice parameters (Å, degrees): 5.634 5.634 5.368 117.57 117.57 35.38
Fractional positions:
Al  0.221  0.221  0.212
Al  0.779  0.779  0.788
In  0.000  0.000  0.500
Se  0.500  0.500  0.000

Values from the calculation:
- SG: No. 12
- Energy relative to the lowest polymorph listed for this composition: 124 meV per atom
- Uncorrected formation energy: 2.20 kJ per mole of atoms

---

Material: MgSi2P
Method: DFT, PBE-GGA
State: relaxed

Lattice parameters (Å, degrees): 7.240 7.240 7.240 27.23 27.23 27.23
Fractional positions:
Mg  0.000  0.000  0.000
Si  0.236  0.236  0.236
Si  0.764  0.764  0.764
P  0.500  0.500  0.500

Values from the calculation:
- SG: No. 166
- Energy relative to the lowest polymorph listed for this composition: 126 meV per atom
- Uncorrected formation energy: 16.89 kJ per mole of atoms

---

Material: Er6Ni5Ru
Method: DFT, PBE-GGA
State: relaxed

Lattice parameters (Å, degrees): 7.517 7.517 6.650 90.00 90.00 143.10
Fractional positions:
Er  0.000  0.000  0.250
Er  0.000  0.000  0.750
Er  0.334  0.666  0.249
Er  0.334  0.666  0.751
Er  0.666  0.334  0.249
Er  0.666  0.334  0.751
Ni  0.164  0.836  0.000
Ni  0.167  0.833  0.500
Ni  0.500  0.500  0.500
Ni  0.833  0.167  0.500
Ni  0.836  0.164  0.000
Ru  0.500  0.500  0.000

Values from the calculation:
- Formation energy from the elements: -5.26 eV/f.u.
- SG: No. 65

---

Material: Ba2SrBe
Method: DFT, PBE-GGA
State: relaxed

Lattice parameters (Å, degrees): 5.946 5.946 4.831 90.00 90.00 90.00
Fractional positions:
Ba  0.000  0.500  0.000
Ba  0.500  0.000  0.000
Sr  0.000  0.000  0.500
Be  0.500  0.500  0.500

Values from the calculation:
- Formation energy from the elements: 2.03 eV/f.u.
- SG: No. 123

---

Material: SrOsC3
Method: DFT, PBE-GGA
State: relaxed

Lattice parameters (Å, degrees): 4.245 4.245 4.245 90.00 90.00 90.00
Fractional positions:
Sr  0.000  0.000  0.000
Os  0.500  0.500  0.500
C  0.000  0.000  0.500
C  0.000  0.500  0.000
C  0.500  0.000  0.000

Values from the calculation:
- Formation energy from the elements: 21.51 eV/f.u.
- SG: No. 221
- Energy relative to the lowest polymorph listed for this composition: 3206 meV per atom

---

Asked for magnetization across the records above, the calculation gives 0.0 0.0 0.0 3.0 0.0 1.8 0.0 0.0 0.0 0.0 0.0 0.0 0.0 0.0 μB/f.u. in order.